1.
CeSmErZn (PBE-GGA, optimized geometry); space group = F-43m (216); DFT total energy = -16.24 eV for the cell shown; calculated formation energy = 0.0626 eV/atom; density of states at the Fermi level = 1.934 states/eV/atom
1.0
5.355 0.000 0.000
2.677 4.637 0.000
2.677 1.546 4.372
Zn Ce Sm Er
1 1 1 1
direct
0.000 0.000 0.000
0.250 0.250 0.250
0.750 0.750 0.750
0.500 0.500 0.500

=====

2.
Ca3Ga8Pt3 (PBE-GGA, optimized geometry); space group = Immm (71); excess energy over the best structure of this formula in the dataset = 0.031 eV/atom; DFT total energy = -57.64 eV for the cell shown; calculated formation energy = -0.6642 eV/atom; density of states at the Fermi level = 0.298 states/eV/atom
1.0
-3.748 -2.023 -0.488
0.573 -6.765 4.814
-4.267 1.690 6.944
Ca Ga Pt
3 8 3
direct
0.500 0.500 0.500
0.830 0.170 0.170
0.170 0.830 0.830
0.621 0.094 0.664
0.379 0.906 0.336
0.621 0.664 0.094
0.379 0.336 0.906
0.822 0.812 0.544
0.178 0.188 0.456
0.822 0.544 0.812
0.178 0.456 0.188
0.500 0.000 0.000
0.000 0.757 0.243
0.000 0.243 0.757